1.
{
  "formula": "Li2YCd",
  "functional": "PBEsol",
  "state": "relaxed",
  "de_polymorph_mev_per_atom": 71,
  "lattice_angstrom": [[3.3468, 0.0000, 0.0000], [0.0000, 5.2042, 0.0000], [0.0000, 0.0000, 5.2663]],
  "species": ["Cd", "Y", "Li", "Li"],
  "frac_coords": [[0.0000, 0.5000, 0.5000], [0.5000, 0.0000, 0.5000], [0.5000, 0.5000, 0.0000], [0.0000, 0.0000, 0.0000]]
}



2.
{
  "formula": "Sm2Co5Cu5",
  "functional": "PBEsol",
  "state": "relaxed",
  "lattice_angstrom": [[-0.8636, -3.4647, 1.7433], [3.9830, -2.0493, -2.0999], [4.6404, 2.1944, 6.6602]],
  "species": ["Cu", "Cu", "Cu", "Cu", "Cu", "Co", "Co", "Co", "Co", "Co", "Sm", "Sm"],
  "frac_coords": [[0.5000, 0.2499, 0.7480], [0.5000, 0.0000, 0.0000], [0.5000, 0.7501, 0.7480], [0.5000, 0.7501, 0.2520], [0.5000, 0.2499, 0.2520], [0.5000, 0.5000, 0.5000], [0.0000, 0.5000, 0.6528], [0.0000, 0.5000, 0.3472], [0.0000, 0.0000, 0.1623], [0.0000, 0.0000, 0.8377], [0.0000, 0.5000, 0.0000], [0.0000, 0.0000, 0.5000]]
}



3.
{
  "formula": "Ca2YRh",
  "functional": "PBEsol",
  "state": "relaxed",
  "de_polymorph_mev_per_atom": 478,
  "lattice_angstrom": [[3.3932, 0.0709, 0.0000], [-1.0551, 5.4434, 0.0000], [-1.1690, -2.7571, 5.3085]],
  "species": ["Rh", "Ca", "Ca", "Y"],
  "frac_coords": [[0.5000, 0.0000, 0.0000], [0.0000, 0.0000, 0.5000], [0.5000, 0.5000, 0.5000], [0.0000, 0.5000, 0.0000]]
}



4.
{
  "formula": "AlTcRu",
  "functional": "PBEsol",
  "state": "relaxed",
  "de_polymorph_mev_per_atom": 579,
  "lattice_angstrom": [[-0.4156, -3.8662, -1.2580], [2.9137, -2.7432, 0.8294], [-0.7031, -2.9692, 2.7189]],
  "species": ["Ru", "Al", "Tc"],
  "frac_coords": [[0.5000, 0.5000, 0.5000], [0.0000, 0.0000, 0.0000], [0.2500, 0.2500, 0.2500]]
}



What DOS(E_F) values result from the calculations? In sequence: 0.81; 0.98; 0.68; 0.42 states/eV per atom.
What formation enthalpy at 0 K values result from the calculations? In sequence: -0.04; -0.03; 0.17; 0.20 eV/atom.
What size of the total moment values result from the calculations? In sequence: 0.00; 5.38; 0.00; 0.00 μB/f.u..